(1)
First-principles (GGA-PBE) data for crystalline UBH at its relaxed geometry, as listed in the Alexandria database.

Output
Density: 12.95 Mg/m³
Distance to the lowest polymorph of the same formula: 0 meV/atom
M_tot: 0.3 μB per formula unit
Space group: No. 62
Crystal system: orthorhombic

a = 5.0606 Å, b = 4.2251 Å, c = 5.9946 Å
α = 90.00°, β = 90.00°, γ = 90.00°
Last column: nearest neighbours and their distance in Å.
Fractional positions:
U (0.2311, 0.2500, 0.1264)  4 H 2.20-2.43
U (0.2689, 0.7500, 0.6264)  4 H 2.20-2.43
U (0.7311, 0.2500, 0.3736)  4 H 2.20-2.43
U (0.7689, 0.7500, 0.8736)  4 H 2.20-2.43
B (0.0106, 0.2500, 0.7370)  1 H 1.42
B (0.4894, 0.7500, 0.2370)  1 H 1.42
B (0.5106, 0.2500, 0.7630)  1 H 1.42
B (0.9894, 0.7500, 0.2630)  1 H 1.42
H (0.1293, 0.2500, 0.5227)  1 B 1.42
H (0.3707, 0.7500, 0.0227)  1 B 1.42
H (0.6293, 0.2500, 0.9773)  1 B 1.42
H (0.8707, 0.7500, 0.4773)  1 B 1.42

***

(2)
First-principles (GGA-PBE) data for crystalline UB4H16 at its relaxed geometry, as listed in the Alexandria database.

Output
Density: 2.73 Mg/m³
M_tot: 2.0 μB per formula unit
VASP energy: -380.2 eV per cell
Space group: No. 96
Crystal system: tetragonal

a = 7.3978 Å, b = 7.3978 Å, c = 13.2413 Å
α = 90.00°, β = 90.00°, γ = 90.00°
Last column: nearest neighbours and their distance in Å.
Fractional positions:
U (0.0766, 0.0766, 0.0000)  14 H 2.26-2.43, 2 B 2.48
U (0.4234, 0.5766, 0.7500)  14 H 2.26-2.43, 2 B 2.48
U (0.5766, 0.4234, 0.2500)  14 H 2.26-2.43, 2 B 2.48
U (0.9234, 0.9234, 0.5000)  14 H 2.26-2.43, 2 B 2.48
B (0.0864, 0.7944, 0.1006)  4 H 1.20-1.25
B (0.1508, 0.7111, 0.6255)  4 H 1.23-1.24
B (0.2056, 0.9136, 0.3994)  4 H 1.20-1.25
B (0.2111, 0.3492, 0.8755)  4 H 1.23-1.24
B (0.2889, 0.8492, 0.8745)  4 H 1.23-1.24
B (0.2944, 0.4136, 0.3506)  4 H 1.20-1.25
B (0.3492, 0.2111, 0.1245)  4 H 1.23-1.24
B (0.4136, 0.2944, 0.6494)  4 H 1.20-1.25
B (0.5864, 0.7056, 0.1494)  4 H 1.20-1.25
B (0.6508, 0.7889, 0.6245)  4 H 1.23-1.24
B (0.7056, 0.5864, 0.8506)  4 H 1.20-1.25
B (0.7111, 0.1508, 0.3745)  4 H 1.23-1.24
B (0.7889, 0.6508, 0.3755)  4 H 1.23-1.24
B (0.7944, 0.0864, 0.8994)  4 H 1.20-1.25
B (0.8492, 0.2889, 0.1255)  4 H 1.23-1.24
B (0.9136, 0.2056, 0.6006)  4 H 1.20-1.25
H (0.0038, 0.2157, 0.5208)  1 B 1.25
H (0.0183, 0.9245, 0.1470)  1 B 1.25
H (0.0390, 0.6420, 0.5685)  1 B 1.23
H (0.0755, 0.9817, 0.3530)  1 B 1.25
H (0.0915, 0.6566, 0.1477)  1 B 1.20
H (0.1203, 0.6566, 0.7120)  1 B 1.24
H (0.1222, 0.8582, 0.8736)  1 B 1.24
H (0.1420, 0.4610, 0.8185)  1 B 1.23
H (0.1418, 0.8778, 0.6264)  1 B 1.24
H (0.1463, 0.7619, 0.4248)  1 B 1.25
H (0.1566, 0.3797, 0.9620)  1 B 1.24
H (0.1566, 0.4085, 0.3977)  1 B 1.20
H (0.1679, 0.1965, 0.8459)  1 B 1.24
H (0.1965, 0.1679, 0.1541)  1 B 1.24
H (0.2157, 0.0038, 0.4792)  1 B 1.25
H (0.2381, 0.8537, 0.0752)  1 B 1.25
H (0.2619, 0.3537, 0.6748)  1 B 1.25
H (0.2843, 0.5038, 0.2708)  1 B 1.25
H (0.3035, 0.6679, 0.5959)  1 B 1.24
H (0.3321, 0.6965, 0.9041)  1 B 1.24
H (0.3434, 0.8797, 0.7880)  1 B 1.24
H (0.3434, 0.9085, 0.3523)  1 B 1.20
H (0.3537, 0.2619, 0.3252)  1 B 1.25
H (0.3582, 0.3778, 0.1236)  1 B 1.24
H (0.3580, 0.9610, 0.9315)  1 B 1.23
H (0.3778, 0.3582, 0.8764)  1 B 1.24
H (0.3797, 0.1566, 0.0380)  1 B 1.24
H (0.4085, 0.1566, 0.6023)  1 B 1.20
H (0.4245, 0.4817, 0.3970)  1 B 1.25
H (0.4610, 0.1420, 0.1815)  1 B 1.23
H (0.4817, 0.4245, 0.6030)  1 B 1.25
H (0.4962, 0.7157, 0.2292)  1 B 1.25
H (0.5038, 0.2843, 0.7292)  1 B 1.25
H (0.5183, 0.5755, 0.1030)  1 B 1.25
H (0.5390, 0.8580, 0.6815)  1 B 1.23
H (0.5755, 0.5183, 0.8970)  1 B 1.25
H (0.5915, 0.8434, 0.1023)  1 B 1.20
H (0.6203, 0.8434, 0.5380)  1 B 1.24
H (0.6222, 0.6418, 0.3764)  1 B 1.24
H (0.6420, 0.0390, 0.4315)  1 B 1.23
H (0.6418, 0.6222, 0.6236)  1 B 1.24
H (0.6463, 0.7381, 0.8252)  1 B 1.25
H (0.6566, 0.0915, 0.8523)  1 B 1.20
H (0.6566, 0.1203, 0.2880)  1 B 1.24
H (0.6679, 0.3035, 0.4041)  1 B 1.24
H (0.6965, 0.3321, 0.0959)  1 B 1.24
H (0.7157, 0.4962, 0.7708)  1 B 1.25
H (0.7381, 0.6463, 0.1748)  1 B 1.25
H (0.7619, 0.1463, 0.5752)  1 B 1.25
H (0.7843, 0.9962, 0.9792)  1 B 1.25
H (0.8035, 0.8321, 0.6541)  1 B 1.24
H (0.8321, 0.8035, 0.3459)  1 B 1.24
H (0.8434, 0.5915, 0.8977)  1 B 1.20
H (0.8434, 0.6203, 0.4620)  1 B 1.24
H (0.8537, 0.2381, 0.9248)  1 B 1.25
H (0.8582, 0.1222, 0.1264)  1 B 1.24
H (0.8580, 0.5390, 0.3185)  1 B 1.23
H (0.8778, 0.1418, 0.3736)  1 B 1.24
H (0.8797, 0.3434, 0.2120)  1 B 1.24
H (0.9085, 0.3434, 0.6477)  1 B 1.20
H (0.9245, 0.0183, 0.8530)  1 B 1.25
H (0.9610, 0.3580, 0.0685)  1 B 1.23
H (0.9817, 0.0755, 0.6470)  1 B 1.25
H (0.9962, 0.7843, 0.0208)  1 B 1.25

***

(3)
First-principles (GGA-PBE) data for crystalline UB4H16 at its relaxed geometry, as listed in the Alexandria database.

Output
Density: 2.65 Mg/m³
M_tot: 2.0 μB per formula unit
VASP energy: -190.0 eV per cell
Space group: No. 63
Crystal system: orthorhombic

a = 5.5183 Å, b = 5.5183 Å, c = 12.2580 Å
α = 90.00°, β = 90.00°, γ = 88.34°
Last column: nearest neighbours and their distance in Å.
Fractional positions:
U (0.1877, 0.8123, 0.7500)  14 H 2.27-2.39, 2 B 2.50
U (0.8123, 0.1877, 0.2500)  14 H 2.27-2.39, 2 B 2.50
B (0.1093, 0.3174, 0.7500)  4 H 1.23-1.24
B (0.2597, 0.7403, 0.5515)  4 H 1.20-1.25
B (0.2597, 0.7403, 0.9485)  4 H 1.20-1.25
B (0.3174, 0.1093, 0.2500)  4 H 1.23-1.24
B (0.6826, 0.8907, 0.7500)  4 H 1.23-1.24
B (0.7403, 0.2597, 0.0515)  4 H 1.20-1.25
B (0.7403, 0.2597, 0.4485)  4 H 1.20-1.25
B (0.8907, 0.6826, 0.2500)  4 H 1.23-1.24
H (0.0489, 0.6983, 0.5821)  1 B 1.25
H (0.0489, 0.6983, 0.9179)  1 B 1.25
H (0.0594, 0.5303, 0.2500)  1 B 1.24
H (0.0967, 0.1950, 0.6663)  1 B 1.23
H (0.0967, 0.1950, 0.8337)  1 B 1.23
H (0.1950, 0.0967, 0.1663)  1 B 1.23
H (0.1950, 0.0967, 0.3337)  1 B 1.23
H (0.2944, 0.7056, 0.0436)  1 B 1.20
H (0.2944, 0.7056, 0.4564)  1 B 1.20
H (0.3017, 0.9511, 0.5821)  1 B 1.25
H (0.3017, 0.9511, 0.9179)  1 B 1.25
H (0.3091, 0.4152, 0.7500)  1 B 1.24
H (0.3892, 0.6108, 0.6126)  1 B 1.25
H (0.3892, 0.6108, 0.8874)  1 B 1.25
H (0.4152, 0.3091, 0.2500)  1 B 1.24
H (0.4697, 0.9406, 0.2500)  1 B 1.24
H (0.5303, 0.0594, 0.7500)  1 B 1.24
H (0.5848, 0.6909, 0.7500)  1 B 1.24
H (0.6108, 0.3892, 0.1126)  1 B 1.25
H (0.6108, 0.3892, 0.3874)  1 B 1.25
H (0.6909, 0.5848, 0.2500)  1 B 1.24
H (0.6983, 0.0489, 0.0821)  1 B 1.25
H (0.6983, 0.0489, 0.4179)  1 B 1.25
H (0.7056, 0.2944, 0.5436)  1 B 1.20
H (0.7056, 0.2944, 0.9564)  1 B 1.20
H (0.8050, 0.9033, 0.6663)  1 B 1.23
H (0.8050, 0.9033, 0.8337)  1 B 1.23
H (0.9033, 0.8050, 0.1663)  1 B 1.23
H (0.9033, 0.8050, 0.3337)  1 B 1.23
H (0.9406, 0.4697, 0.7500)  1 B 1.24
H (0.9511, 0.3017, 0.0821)  1 B 1.25
H (0.9511, 0.3017, 0.4179)  1 B 1.25